[1]
Density functional theory data (PBE-GGA) for a relaxed Ba6Hg5Te crystal.

a = 8.704 Å, b = 14.701 Å, c = 8.787 Å
α = 90.00°, β = 107.95°, γ = 90.00°
Space group C2/m (No. 12)
Symmetry-distinct sites (fractional):
Ba  0.242  0.000  0.246 (multiplicity 4)
Ba  0.244  0.162  0.744 (multiplicity 8)
Hg  0.000  0.175  0.000 (multiplicity 4)
Hg  0.000  0.335  0.500 (multiplicity 4)
Hg  0.000  0.500  0.000 (multiplicity 2)
Te  0.000  0.000  0.500 (multiplicity 2)

* E_form (uncorrected): -0.586 eV per atom
* Fermi-level density of states: 12.7 states/eV/f.u.
* volume: 44.57 Å³/atom



[2]
Density functional theory data (PBE-GGA) for a relaxed NbAl crystal.

a = 7.661 Å, b = 7.661 Å, c = 4.941 Å
α = 90.00°, β = 90.00°, γ = 90.00°
Space group P4/mcc (No. 124)
Symmetry-distinct sites (fractional):
Nb  0.064  0.274  0.000 (multiplicity 8)
Al  0.263  0.418  0.500 (multiplicity 8)

* Fermi-level density of states: 1.5 states/eV/f.u.
* volume: 18.12 Å³/atom
* ΔE_f: 133 meV/atom



The highest volume belongs to which entry?
Ba6Hg5Te